The following is a DFT calculation (PBE) of a relaxed Nd4Sm2Ho5 crystal.

Properties
- energy above the most stable polymorph in this dataset (kJ per mole of atoms) = 15.2
- ΔE_f (eV/atom) = 0.261
- raw total energy (eV per atom) = -4.411
- mass density (Mg/m³) = 7.515

Cell lengths 3.5216, 9.2499, 12.5631 Å; angles 111.60, 98.06, 90.00 degrees
Element x y z (fractional)
Nd 0.0000 0.2949 0.0000
Nd 0.5961 0.5961 0.1922
Nd 0.0000 0.7051 0.0000
Nd 0.4039 0.4039 0.8078
Sm 0.2694 0.2694 0.5387
Sm 0.7306 0.7306 0.4613
Ho 0.8546 0.0504 0.7092
Ho 0.8546 0.6588 0.7092
Ho 0.1454 0.3412 0.2908
Ho 0.1454 0.9496 0.2908
Ho 0.5000 0.0000 0.0000